# PBE-GGA AgGe2S, optimized geometry
data_AgGe2S
_chemical_formula_sum 'Ag2 Ge4 S2'
_symmetry_space_group_name_H-M 'P 1'
_symmetry_Int_Tables_number 1
_symmetry_space_group_name_Hall 'P 1'
_cell_length_a 5.989
_cell_length_b 5.989
_cell_length_c 6.974
_cell_angle_alpha 64.57
_cell_angle_beta 64.57
_cell_angle_gamma 90.00
loop_
_atom_site_label
_atom_site_type_symbol
_atom_site_fract_x
_atom_site_fract_y
_atom_site_fract_z
Ge1 Ge 0.375 0.384 0.750
Ge2 Ge 0.134 0.625 0.250
Ge3 Ge 0.875 0.866 0.750
S1 S 0.500 0.500 0.000
Ge4 Ge 0.616 0.125 0.250
Ag1 Ag 0.000 0.000 0.000
Ag2 Ag 0.750 0.250 0.500
S2 S 0.250 0.750 0.500
# SG: I-42d, No. 122
# formation energy from raw total energies: 0.21 eV/atom



# PBE-GGA Be3Co2Rh2, optimized geometry
data_Be3Co2Rh2
_chemical_formula_sum 'Be3 Co2 Rh2'
_symmetry_space_group_name_H-M 'P 1'
_symmetry_Int_Tables_number 1
_symmetry_space_group_name_Hall 'P 1'
_cell_length_a 3.877
_cell_length_b 3.852
_cell_length_c 6.218
_cell_angle_alpha 89.88
_cell_angle_beta 107.81
_cell_angle_gamma 119.87
loop_
_atom_site_label
_atom_site_type_symbol
_atom_site_fract_x
_atom_site_fract_y
_atom_site_fract_z
Co1 Co 0.273 0.136 0.415
Be1 Be 0.474 0.736 0.219
Be2 Be 0.000 0.000 0.000
Co2 Co 0.727 0.864 0.585
Rh1 Rh 0.776 0.388 0.167
Rh2 Rh 0.224 0.612 0.833
Be3 Be 0.526 0.264 0.781
# SG: P-1, No. 2
# DFT formation energy: -0.242 eV/atom